Density functional theory data (PBE with a Hubbard U) for a relaxed CrP2WO crystal.

As for the total magnetic moment: 4.535 μB per formula unit. Its raw total energy is -5.771 eV/atom. The value obtained for the volume is 16.05 Å³/atom. The energy above the most stable polymorph in this dataset comes out at 363 meV/atom.

It has space group P4/mmm (No. 123), with a = 4.783 Å, b = 4.783 Å, c = 3.507 Å, α = 90.00°, β = 90.00° and γ = 90.00°. The inequivalent atoms are Cr at (0.000, 0.000, 0.000), P at (0.000, 0.500, 0.000), W at (0.500, 0.500, 0.500) and O at (0.000, 0.000, 0.500).